[1]
## Sm2BePt6Rh (PBE)

Data for a geometry-optimized Sm2BePt6Rh structure. Values from VASP.

Quantum ESPRESSO input file:
```
&SYSTEM
  ibrav = 0, nat = 10, ntyp = 4
/
ATOMIC_SPECIES
Sm 150.36 Sm.upf
Be 9.01 Be.upf
Pt 195.08 Pt.upf
Rh 102.91 Rh.upf
CELL_PARAMETERS angstrom
2.783 1.607 7.101
-2.783 1.607 7.101
0.000 -3.213 7.101
ATOMIC_POSITIONS crystal
Sm 0.206 0.206 0.206
Sm 0.794 0.794 0.794
Be 0.000 0.000 0.000
Pt 0.238 0.238 0.728
Pt 0.238 0.728 0.238
Pt 0.272 0.762 0.762
Pt 0.728 0.238 0.238
Pt 0.762 0.272 0.762
Pt 0.762 0.762 0.272
Rh 0.500 0.500 0.500
```

Calculated values
* calculated formation energy: -0.665 eV/atom
* density of states at the Fermi level: 5.537 states/eV/cell
* E: -0.4661 Ry per atom
* V: 190 Å³/cell
* calculated density: 13.8 g/cm3

***

[2]
## HgGeNF2 (PBE)

Data for a geometry-optimized HgGeNF2 structure. Values from VASP.

Quantum ESPRESSO input file:
```
&SYSTEM
  ibrav = 0, nat = 5, ntyp = 4
/
ATOMIC_SPECIES
Hg 200.59 Hg.upf
Ge 72.64 Ge.upf
N 14.01 N.upf
F 19.00 F.upf
CELL_PARAMETERS angstrom
4.510 0.000 0.000
0.000 4.510 0.000
0.000 0.000 4.220
ATOMIC_POSITIONS crystal
Hg 0.000 0.000 0.000
Ge 0.500 0.500 0.500
N 0.000 0.000 0.500
F 0.000 0.500 0.000
F 0.500 0.000 0.000
```

Calculated values
* formation energy (no corrections): 20 kJ per mole of atoms
* distance to the lowest polymorph of the same formula: 709 meV/atom
* density of states at the Fermi level: 2.179 states/eV/cell
* E: -0.2343 Ry per atom
* V: 86 Å³/cell
* calculated density: 6.3 g/cm3

***

> Which formula does entry 1 have?

Sm2BePt6Rh